Record 1
# AgAs2F8 | Alexandria via LeMat-Bulk | PBE | relaxed
# raw formation energy	-1.7897	eV/atom
# mass density	3.75	g/cm3
# DOS at the Fermi energy	0.22	states/eV per atom
# ΔE to the lowest computed polymorph	0.57	kcal/mol of atoms
# total moment	0.0	μB/cell
data_AgAs2F8
_space_group_name_H-M_alt 'C 1 2/m 1'
_space_group_IT_number 12
_space_group_name_Hall '-C 2y'
_cell_length_a 12.154
_cell_length_b 6.845
_cell_length_c 4.718
_cell_angle_alpha 90.00
_cell_angle_beta 112.56
_cell_angle_gamma 90.00
loop_
_atom_site_label
_atom_site_type_symbol
_atom_site_fract_x
_atom_site_fract_y
_atom_site_fract_z
Ag1 Ag 0.000 0.000 0.000
As1 As 0.217 0.500 0.263
F1 F 0.117 0.000 0.764
F2 F 0.121 0.289 0.254
F3 F 0.163 0.500 0.858

Record 2
# AgAsF6 | Alexandria via LeMat-Bulk | PBE | relaxed
# raw formation energy	-1.8891	eV/atom
# mass density	3.97	g/cm3
# DOS at the Fermi energy	0.00	states/eV per atom
# total moment	0.2	μB/cell
data_AgAsF6
_space_group_name_H-M_alt 'P -3 1 c'
_space_group_IT_number 163
_space_group_name_Hall '-P 3 2c'
_cell_length_a 5.3339
_cell_length_b 5.3339
_cell_length_c 10.0772
_cell_angle_alpha 90.00
_cell_angle_beta 90.00
_cell_angle_gamma 120.00
loop_
_atom_site_label
_atom_site_type_symbol
_atom_site_fract_x
_atom_site_fract_y
_atom_site_fract_z
Ag1 Ag 0.3333 0.6667 0.2500
As1 As 0.0000 0.0000 0.0000
F1 F 0.0158 0.2800 0.6020

Record 3
# AgAsF7 | Alexandria via LeMat-Bulk | PBE | relaxed
# raw formation energy	-1.7776	eV/atom
# mass density	3.71	g/cm3
# DOS at the Fermi energy	0.08	states/eV per atom
# total moment	0.0	μB/cell
data_AgAsF7
_space_group_name_H-M_alt 'P n m a'
_space_group_IT_number 62
_space_group_name_Hall '-P 2ac 2n'
_cell_length_a 7.845
_cell_length_b 7.204
_cell_length_c 9.992
_cell_angle_alpha 90.00
_cell_angle_beta 90.00
_cell_angle_gamma 90.00
loop_
_atom_site_label
_atom_site_type_symbol
_atom_site_fract_x
_atom_site_fract_y
_atom_site_fract_z
Ag1 Ag 0.136 0.250 0.243
As1 As 0.200 0.750 0.060
F1 F 0.007 0.250 0.018
F2 F 0.101 0.250 0.635
F3 F 0.111 0.750 0.694
F4 F 0.126 0.575 0.171
F5 F 0.233 0.077 0.442